Material: MgTlReMo
Method: DFT, PBE
State: optimized geometry

```
4
Lattice="2.3711 -3.4686 -1.8624 2.0635 -3.0878 2.7073 -1.6280 -4.2907 0.2480" Properties=species:S:1:pos:R:3 pbc="T T T"
Tl 0.0000 0.0000 0.0000
Mg 2.1049 -8.1354 0.8197
Re 0.7016 -2.7118 0.2732
Mo 1.4033 -5.4236 0.5465
```

- E above lowest polymorph (meV per atom) = 0
- crystal system = cubic
- space-group type = F-43m, No. 216
- spin magnetization (μB/cell) = 0.0

***

Material: PrErTa
Method: DFT, PBE
State: optimized geometry

```
9
Lattice="8.9301 0.0000 0.0000 -4.4651 7.7337 0.0000 0.0000 0.0000 3.3902" Properties=species:S:1:pos:R:3 pbc="T T T"
Pr 2.7101 0.0000 0.0000
Pr -1.3551 2.3471 0.0000
Pr 3.1100 5.3867 0.0000
Er 5.6591 0.0000 1.6951
Er 1.6355 2.8328 1.6951
Er -2.8295 4.9009 1.6951
Ta 4.4651 2.5779 0.0000
Ta 0.0000 0.0000 1.6951
Ta 0.0000 5.1558 0.0000
```

- E above lowest polymorph (meV per atom) = 0
- crystal system = hexagonal
- formation energy from the elements (eV/atom) = 0.42
- space-group type = P-62m, No. 189
- spin magnetization (μB/cell) = 0.1

***

Material: MgAlSiIr
Method: DFT, PBE
State: optimized geometry

```
4
Lattice="0.0000 3.0873 3.0873 3.0873 0.0000 3.0873 3.0873 3.0873 0.0000" Properties=species:S:1:pos:R:3 pbc="T T T"
Ir 1.5436 1.5436 1.5436
Mg 4.6310 4.6310 4.6310
Si 3.0873 3.0873 3.0873
Al 0.0000 0.0000 0.0000
```

- E above lowest polymorph (meV per atom) = 0
- crystal system = cubic
- space-group type = F-43m, No. 216
- spin magnetization (μB/cell) = 0.0

***

Material: GdAuNO
Method: DFT, PBE
State: optimized geometry

```
8
Lattice="-2.0391 -3.5319 0.0000 0.0000 0.0000 4.9353 -5.4863 3.1675 0.0000" Properties=species:S:1:pos:R:3 pbc="T T T"
O -1.9684 -1.2181 2.1523
O -5.5570 0.8538 4.6200
Au -2.3795 -0.9808 4.6312
Au -5.1459 0.6164 2.1636
N -1.8200 1.0508 4.6362
N -3.6662 2.1167 2.1685
Gd -1.6527 0.9542 2.1720
Gd -3.8336 2.2133 4.6397
```

- E above lowest polymorph (meV per atom) = 229
- crystal system = orthorhombic
- space-group type = Pmc2_1, No. 26
- spin magnetization (μB/cell) = 0.0